No. 1
A plane-wave DFT calculation with GGA-PBE was carried out for La4CePm10 after structural relaxation.

```
15
Lattice="-5.774 5.774 4.026 5.774 -5.774 4.026 5.774 5.774 -4.026" Properties=species:S:1:pos:R:3 pbc="T T T"
La 2.604 2.604 0.000
La 3.170 -3.170 4.026
La -3.170 3.170 4.026
La 3.170 3.170 4.026
Ce 0.000 0.000 0.000
Pm 5.774 3.377 -1.684
Pm 5.774 0.000 2.013
Pm 3.377 5.774 -1.684
Pm 2.397 0.000 2.342
Pm 0.000 2.397 2.342
Pm 5.774 3.377 1.684
Pm 3.377 5.774 1.684
Pm 2.397 0.000 5.711
Pm 0.000 5.774 2.013
Pm 0.000 2.397 5.711
```

ΔH_f (0 K)   0.222 eV/atom
Total magnetization   0.00 μB/f.u.
Symmetry   No. 139
D(E_F)   1.34 states/eV per atom


No. 2
A plane-wave DFT calculation with GGA-PBE was carried out for La10CePm4 after structural relaxation.

```
15
Lattice="-4.996 4.996 5.320 4.996 -4.996 5.320 4.996 4.996 -5.320" Properties=species:S:1:pos:R:3 pbc="T T T"
La 2.018 -1.173 1.670
La 6.169 -2.978 3.650
La 4.996 0.000 2.660
La 7.974 1.173 1.670
La 1.173 2.018 1.670
La 3.823 2.978 3.650
La -2.978 3.823 3.650
La 0.000 4.996 2.660
La -1.173 7.974 1.670
La 2.978 6.169 3.650
Ce 0.000 0.000 5.320
Pm 4.516 1.793 0.000
Pm 3.203 -0.480 5.320
Pm 1.793 5.476 0.000
Pm 0.480 3.203 5.320
```

ΔH_f (0 K)   0.261 eV/atom
Total magnetization   1.15 μB/f.u.
Symmetry   No. 87
D(E_F)   1.78 states/eV per atom


No. 3
A plane-wave DFT calculation with GGA-PBE was carried out for LaCePm2 after structural relaxation.

```
4
Lattice="1.817 1.049 11.879 -1.817 1.049 11.879 0.000 -2.098 11.879" Properties=species:S:1:pos:R:3 pbc="T T T"
La 0.000 0.000 0.000
Ce 0.000 0.000 5.927
Pm 0.000 0.000 14.920
Pm 0.000 0.000 20.731
```

ΔH_f (0 K)   0.070 eV/atom
Total magnetization   1.01 μB/f.u.
Symmetry   No. 160
ΔE to the lowest computed polymorph   0.0080 eV/atom
D(E_F)   2.13 states/eV per atom


No. 4
A plane-wave DFT calculation with GGA-PBE was carried out for La3CePm after structural relaxation.

```
10
Lattice="9.034 0.000 0.000 0.000 3.560 0.000 -4.342 0.000 10.792" Properties=species:S:1:pos:R:3 pbc="T T T"
La 0.062 0.890 1.741
La 0.632 2.670 5.050
La -1.392 0.890 10.192
La 6.083 2.670 0.601
La 4.060 0.890 5.742
La 4.630 2.670 9.051
Ce -1.813 0.890 6.892
Ce 6.505 2.670 3.900
Pm 3.235 2.670 2.642
Pm 1.457 0.890 8.150
```

ΔH_f (0 K)   0.114 eV/atom
Total magnetization   0.81 μB/f.u.
Symmetry   No. 11
D(E_F)   2.05 states/eV per atom


No. 5
A plane-wave DFT calculation with GGA-PBE was carried out for LaCePm2 after structural relaxation.

```
4
Lattice="5.136 0.000 0.000 0.000 5.136 0.000 0.000 0.000 5.124" Properties=species:S:1:pos:R:3 pbc="T T T"
La 0.000 0.000 0.000
Ce 2.568 2.568 0.000
Pm 0.000 2.568 2.562
Pm 2.568 0.000 2.562
```

ΔH_f (0 K)   0.082 eV/atom
Total magnetization   0.83 μB/f.u.
Symmetry   No. 123
ΔE to the lowest computed polymorph   0.0202 eV/atom
D(E_F)   2.27 states/eV per atom


No. 6
A plane-wave DFT calculation with GGA-PBE was carried out for La5CePm2 after structural relaxation.

```
8
Lattice="-1.807 5.717 6.883 1.807 -5.717 6.883 1.807 5.717 -6.883" Properties=species:S:1:pos:R:3 pbc="T T T"
La 0.000 0.000 0.000
La 1.807 2.744 -1.747
La 1.807 2.744 1.747
La 0.000 2.973 5.136
La 0.000 2.973 8.630
Ce 0.000 5.717 0.000
Pm 0.000 0.000 3.519
Pm 0.000 0.000 10.247
```

ΔH_f (0 K)   0.067 eV/atom
Total magnetization   1.22 μB/f.u.
Symmetry   No. 71
D(E_F)   1.93 states/eV per atom


No. 7
A plane-wave DFT calculation with GGA-PBE was carried out for La4CePm2 after structural relaxation.

```
14
Lattice="6.625 0.000 0.000 2.852 8.326 0.000 1.063 -0.185 8.943" Properties=species:S:1:pos:R:3 pbc="T T T"
La 0.000 0.000 0.000
La 1.736 4.581 0.222
La 3.230 6.122 2.821
La 2.143 2.261 3.094
La 4.185 4.025 5.814
La 4.233 1.175 7.669
La 6.485 4.875 3.569
La 7.451 2.686 6.603
Ce 6.181 5.634 8.457
Ce 5.574 0.940 4.289
Pm 5.135 7.764 5.400
Pm 6.465 7.774 1.769
Pm 5.123 2.900 1.268
Pm 8.450 6.472 6.226
```

ΔH_f (0 K)   0.095 eV/atom
Total magnetization   0.89 μB/f.u.
Symmetry   No. 1
D(E_F)   1.94 states/eV per atom


No. 8
A plane-wave DFT calculation with GGA-PBE was carried out for LaCePm2 after structural relaxation.

```
4
Lattice="3.584 0.000 0.000 0.000 3.584 0.000 0.000 0.000 10.417" Properties=species:S:1:pos:R:3 pbc="T T T"
La 0.000 0.000 0.000
Ce 0.000 0.000 5.209
Pm 1.792 1.792 2.782
Pm 1.792 1.792 7.636
```

ΔH_f (0 K)   0.062 eV/atom
Total magnetization   0.47 μB/f.u.
Symmetry   No. 123
ΔE to the lowest computed polymorph   0.0000 eV/atom
D(E_F)   1.85 states/eV per atom


No. 9
A plane-wave DFT calculation with GGA-PBE was carried out for La6CePm2Pr after structural relaxation.

```
10
Lattice="5.696 -3.587 0.000 5.696 3.587 0.000 -2.079 0.000 8.841" Properties=species:S:1:pos:R:3 pbc="T T T"
La 3.312 1.690 1.795
La 0.587 0.000 3.672
La 6.000 1.690 7.046
La 3.312 -1.690 1.795
La 8.726 0.000 5.169
La 6.000 -1.690 7.046
Ce 0.000 0.000 0.000
Pm 2.846 0.000 7.470
Pm 6.466 0.000 1.372
Pr 4.656 0.000 4.421
```

ΔH_f (0 K)   0.200 eV/atom
Total magnetization   1.09 μB/f.u.
Symmetry   No. 12
D(E_F)   2.15 states/eV per atom


No. 10
A plane-wave DFT calculation with GGA-PBE was carried out for La2CePm2Pr after structural relaxation.

```
12
Lattice="6.795 0.000 0.000 0.000 17.978 0.000 0.000 0.000 3.412" Properties=species:S:1:pos:R:3 pbc="T T T"
La 1.439 2.694 0.000
La 1.959 11.683 1.706
La 4.837 6.295 1.706
La 5.356 15.284 0.000
Ce 0.000 0.000 1.706
Ce 3.398 8.989 0.000
Pm 1.549 5.821 1.706
Pm 1.849 14.810 0.000
Pm 4.947 3.168 0.000
Pm 5.246 12.157 1.706
Pr 0.000 8.989 1.706
Pr 3.398 0.000 0.000
```

ΔH_f (0 K)   0.257 eV/atom
Total magnetization   0.76 μB/f.u.
Symmetry   No. 58
D(E_F)   2.25 states/eV per atom


No. 11
A plane-wave DFT calculation with GGA-PBE was carried out for La5CePmPr2 after structural relaxation.

```
18
Lattice="8.295 0.000 0.000 0.000 8.295 0.000 0.000 0.000 9.503" Properties=species:S:1:pos:R:3 pbc="T T T"
La 0.000 0.000 0.000
La 1.629 2.518 2.642
La 1.629 2.518 6.861
La 2.518 6.666 2.642
La 2.518 6.666 6.861
La 4.148 4.148 0.000
La 5.777 1.629 2.642
La 5.777 1.629 6.861
La 6.666 5.777 2.642
La 6.666 5.777 6.861
Ce 0.000 4.148 4.752
Ce 4.148 0.000 4.752
Pm 0.000 0.000 4.752
Pm 4.148 4.148 4.752
Pr 1.084 5.231 0.000
Pr 3.064 1.084 0.000
Pr 5.231 7.211 0.000
Pr 7.211 3.064 0.000
```

ΔH_f (0 K)   0.255 eV/atom
Total magnetization   1.26 μB/f.u.
Symmetry   No. 127
D(E_F)   1.86 states/eV per atom


No. 12
A plane-wave DFT calculation with GGA-PBE was carried out for La5CePm2Pr after structural relaxation.

```
18
Lattice="8.288 0.000 0.000 0.000 8.288 0.000 0.000 0.000 9.485" Properties=species:S:1:pos:R:3 pbc="T T T"
La 0.000 0.000 0.000
La 1.604 2.540 2.603
La 1.604 2.540 6.882
La 2.540 6.684 2.603
La 2.540 6.684 6.882
La 4.144 4.144 0.000
La 5.748 1.604 2.603
La 5.748 1.604 6.882
La 6.684 5.748 2.603
La 6.684 5.748 6.882
Ce 0.000 4.144 4.743
Ce 4.144 0.000 4.743
Pm 1.076 5.220 0.000
Pm 3.068 1.076 0.000
Pm 5.220 7.212 0.000
Pm 7.212 3.068 0.000
Pr 0.000 0.000 4.743
Pr 4.144 4.144 4.743
```

ΔH_f (0 K)   0.258 eV/atom
Total magnetization   1.23 μB/f.u.
Symmetry   No. 127
D(E_F)   1.93 states/eV per atom


No. 13
A plane-wave DFT calculation with GGA-PBE was carried out for LaCePm2Pr6 after structural relaxation.

```
10
Lattice="5.746 -3.527 0.000 5.746 3.527 0.000 -2.140 0.000 8.827" Properties=species:S:1:pos:R:3 pbc="T T T"
La 0.000 0.000 0.000
Ce 4.676 0.000 4.413
Pm -0.359 0.000 5.809
Pm 9.712 0.000 3.018
Pr 2.250 1.853 6.172
Pr 4.105 0.000 0.744
Pr 7.103 1.853 2.655
Pr 2.250 -1.853 6.172
Pr 5.248 0.000 8.083
Pr 7.103 -1.853 2.655
```

ΔH_f (0 K)   0.214 eV/atom
Total magnetization   1.07 μB/f.u.
Symmetry   No. 12
D(E_F)   2.20 states/eV per atom


No. 14
A plane-wave DFT calculation with GGA-PBE was carried out for LaCe2PmPt4 after structural relaxation.

```
8
Lattice="-2.953 2.953 5.913 2.953 -2.953 5.913 2.953 2.953 -5.913" Properties=species:S:1:pos:R:3 pbc="T T T"
La 0.000 0.000 0.000
Ce 2.953 0.000 2.956
Ce 0.000 2.953 2.956
Pm 0.000 0.000 5.913
Pt 2.953 0.000 0.000
Pt 0.000 0.000 2.976
Pt 0.000 2.953 0.000
Pt 0.000 0.000 8.850
```

ΔH_f (0 K)   -1.075 eV/atom
Total magnetization   1.07 μB/f.u.
Symmetry   No. 139
D(E_F)   1.61 states/eV per atom


No. 15
A plane-wave DFT calculation with GGA-PBE was carried out for La2CePmRh2 after structural relaxation.

```
12
Lattice="-3.571 6.713 3.521 3.571 -6.713 3.521 3.571 6.713 -3.521" Properties=species:S:1:pos:R:3 pbc="T T T"
La 1.549 2.620 0.000
La 1.549 -2.620 3.521
La 2.021 9.333 0.000
La 2.021 4.093 3.521
Ce 0.000 0.000 1.761
Ce 0.000 0.000 5.282
Pm 3.571 0.000 1.761
Pm 0.000 6.713 1.761
Rh 5.515 1.382 0.000
Rh 1.945 5.331 0.000
Rh 1.626 1.382 3.521
Rh -1.945 5.331 3.521
```

ΔH_f (0 K)   -0.507 eV/atom
Total magnetization   0.19 μB/f.u.
Symmetry   No. 72
D(E_F)   1.36 states/eV per atom


No. 16
A plane-wave DFT calculation with GGA-PBE was carried out for La4Ce3PmS8 after structural relaxation.

```
16
Lattice="4.089 2.361 6.697 -4.089 2.361 6.697 0.000 -4.721 6.697" Properties=species:S:1:pos:R:3 pbc="T T T"
La 0.000 0.000 0.000
La -2.044 -1.180 6.697
La -2.044 1.180 13.393
La 0.000 2.361 6.697
Ce -4.089 0.000 10.045
Ce -2.044 1.180 3.348
Ce 2.044 1.180 3.348
Pm 0.000 0.000 10.045
S 0.000 0.000 4.966
S -2.045 -1.181 11.661
S 0.000 -2.362 8.429
S -2.045 1.181 8.429
S 2.045 -1.181 11.661
S 0.000 2.362 11.661
S 2.045 1.181 8.429
S 0.000 0.000 15.124
```

Total magnetization   2.14 μB/f.u.
E_form (uncorrected)   -2.103 eV/atom
Symmetry   No. 166
D(E_F)   1.20 states/eV per atom


No. 17
A plane-wave DFT calculation with GGA-PBE was carried out for La2CePmS4 after structural relaxation.

```
8
Lattice="7.088 0.000 0.000 0.000 4.082 0.000 -2.357 0.000 6.705" Properties=species:S:1:pos:R:3 pbc="T T T"
La 0.000 0.000 0.000
La 3.544 2.041 0.000
Ce -1.178 2.041 3.353
Pm 2.366 0.000 3.353
S 0.004 0.000 4.970
S 1.181 2.041 1.735
S 3.551 2.041 4.971
S 4.728 0.000 1.735
```

Total magnetization   0.80 μB/f.u.
E_form (uncorrected)   -2.105 eV/atom
Symmetry   No. 10
D(E_F)   1.01 states/eV per atom


No. 18
A plane-wave DFT calculation with GGA-PBE was carried out for LaCe3Pm4S8 after structural relaxation.

```
16
Lattice="4.048 2.337 6.606 -4.048 2.337 6.606 0.000 -4.674 6.606" Properties=species:S:1:pos:R:3 pbc="T T T"
La 0.000 0.000 0.000
Ce -2.024 -1.168 6.606
Ce -2.024 1.168 13.213
Ce 0.000 2.337 6.606
Pm -4.048 0.000 9.909
Pm -2.024 1.168 3.303
Pm 2.024 1.168 3.303
Pm 0.000 0.000 9.909
S 0.000 0.000 4.955
S 0.000 -2.310 8.274
S -2.001 1.155 8.274
S -2.001 -1.155 11.544
S 2.001 1.155 8.274
S 2.001 -1.155 11.544
S 0.000 2.310 11.544
S 0.000 0.000 14.864
```

Total magnetization   2.24 μB/f.u.
E_form (uncorrected)   -2.057 eV/atom
Symmetry   No. 166
D(E_F)   1.19 states/eV per atom


No. 19
A plane-wave DFT calculation with GGA-PBE was carried out for La2CePm3S6 after structural relaxation.

```
12
Lattice="8.877 -2.032 0.000 8.877 2.032 0.000 -1.875 0.000 7.957" Properties=species:S:1:pos:R:3 pbc="T T T"
La 2.317 0.000 2.637
La 13.563 0.000 5.320
Ce 8.877 0.000 0.000
Pm 1.404 0.000 6.646
Pm 7.940 0.000 3.979
Pm 14.475 0.000 1.311
S -1.361 0.000 5.975
S 4.194 0.000 7.339
S 5.169 0.000 3.277
S 10.710 0.000 4.680
S 11.685 0.000 0.619
S 17.241 0.000 1.982
```

Total magnetization   1.04 μB/f.u.
E_form (uncorrected)   -2.082 eV/atom
Symmetry   No. 12
D(E_F)   0.88 states/eV per atom


No. 20
A plane-wave DFT calculation with GGA-PBE was carried out for La2Ce3PmS6 after structural relaxation.

```
12
Lattice="8.885 -2.034 0.000 8.885 2.034 0.000 -1.896 0.000 7.938" Properties=species:S:1:pos:R:3 pbc="T T T"
La 2.318 0.000 2.639
La 13.554 0.000 5.299
Ce 1.391 0.000 6.618
Ce 7.936 0.000 3.969
Ce 14.482 0.000 1.319
Pm 8.885 0.000 0.000
S -1.380 0.000 5.966
S 4.185 0.000 7.325
S 5.170 0.000 3.271
S 10.703 0.000 4.666
S 11.688 0.000 0.613
S 17.253 0.000 1.972
```

Total magnetization   2.63 μB/f.u.
E_form (uncorrected)   -2.078 eV/atom
Symmetry   No. 12
D(E_F)   1.50 states/eV per atom